ScAl2Os | PBE | relaxed

## Properties
E_form   0.106 eV per atom
Final energy   -6.1558 eV per atom
DOS at the Fermi energy   0.77 states/eV/atom

Cell: 6.606 6.606 6.606 Å, 46.92 153.74 141.83°
Atoms (fractional coordinates):
Al  0.000  0.297  0.297
Al  0.000  0.703  0.703
Os  0.000  0.500  0.500
Sc  0.000  0.000  0.000